# 1
First-principles (GGA-PBE) data for a relaxed structure of CsHg8H6, as listed in Alexandria.

Properties
E: -20.358 eV per cell
Calculated density: 8.33 g/cm³

a b c (Å): 6.0888 6.0888 11.3819
angles (deg): 74.49 74.49 60.00
Last column: nearest neighbours and their distance in Å.
Fractional positions:
Cs1 0.0000 0.0000 0.0000  12 H 3.28-3.60
Hg1 0.9373 0.4512 0.6470  2 H 2.70-2.98
Hg2 0.0355 0.0627 0.3530  2 H 2.70-2.98
Hg3 0.5488 0.0355 0.3530  2 H 2.70-2.98
Hg4 0.3824 0.3824 0.8528  3 H 1.76
Hg5 0.6176 0.6176 0.1472  3 H 1.76
Hg6 0.4512 0.9645 0.6470  2 H 2.70-2.98
Hg7 0.9645 0.9373 0.6470  2 H 2.70-2.98
Hg8 0.0627 0.5488 0.3530  2 H 2.70-2.98
H1 0.9504 0.4219 0.1479  1 Hg 1.76
H2 0.5202 0.0496 0.8521  1 Hg 1.76
H3 0.5781 0.5202 0.8521  1 Hg 1.76
H4 0.4219 0.4798 0.1479  1 Hg 1.76
H5 0.4798 0.9504 0.1479  1 Hg 1.76
H6 0.0496 0.5781 0.8521  1 Hg 1.76

# 2
First-principles (GGA-PBE) data for a relaxed structure of YBeAu3, as listed in Alexandria.

Properties
Formation energy from the elements: -540 meV per atom
E: -45.443 eV per cell
Calculated density: 12.45 g/cm³
Excess energy over the best structure of this formula in the dataset: 0.135 eV/f.u.

a b c (Å): 5.0174 6.9227 5.4157
angles (deg): 80.32 89.08 97.48
Last column: nearest neighbours and their distance in Å.
Fractional positions:
Y1 0.9526 0.6228 0.6595  10 Au 2.95-3.20, 3 Be 3.17-3.30
Y2 0.3808 0.2221 0.0137  10 Au 2.95-3.20, 3 Be 3.17-3.29
Be1 0.5049 0.7914 0.3106  4 Au 2.31-2.56, 1 Be 2.33
Be2 0.8295 0.0534 0.3621  4 Au 2.31-2.56, 1 Be 2.33
Au1 0.3454 0.0149 0.5377  2 Be 2.34-2.56
Au2 0.9100 0.3939 0.1932  1 Be 2.36
Au3 0.8767 0.1638 0.7414  1 Be 2.31
Au4 0.9883 0.8298 0.1354  2 Be 2.34-2.56
Au5 0.4568 0.6809 0.9317  1 Be 2.31
Au6 0.4234 0.4509 0.4802  1 Be 2.36

# 3
First-principles (GGA-PBE) data for a relaxed structure of YCo2Ni, as listed in Alexandria.

Properties
Formation energy from the elements: 101 meV per atom
E: -26.053 eV per cell
Calculated density: 7.44 g/cm³

a b c (Å): 4.7012 4.7012 4.7012
angles (deg): 132.52 127.59 73.39
Last column: nearest neighbours and their distance in Å.
Fractional positions:
Co1 0.0176 0.0176 0.0000  2 Co 2.49, 4 Y 2.73-2.75
Co2 0.2329 0.7329 0.5000  2 Co 2.49, 4 Ni 2.73-2.75
Ni1 0.4930 0.4930 0.0000  8 Co 2.73-2.82, 4 Y 2.74
Y1 0.7564 0.2564 0.5000  8 Co 2.73-2.81, 4 Ni 2.74

# 4
First-principles (GGA-PBE) data for a relaxed structure of La2Sb4IrRh3, as listed in Alexandria.

Properties
Formation energy from raw total energies: -0.811 eV per atom
E: -65.370 eV per cell
Calculated density: 9.52 g/cm³

a b c (Å): 4.5717 4.5717 10.5643
angles (deg): 90.00 90.00 90.00
Last column: nearest neighbours and their distance in Å.
Fractional positions:
La1 0.5000 0.0000 0.2550  8 Sb 3.44-3.53, 6 Rh 3.45-3.52, 2 Ir 3.45
La2 0.0000 0.5000 0.7450  8 Sb 3.44-3.53, 2 Ir 3.45, 6 Rh 3.45-3.52
Sb1 0.5000 0.5000 0.0000  4 Rh 2.63
Sb2 0.0000 0.0000 0.0000  4 Rh 2.63
Sb3 0.5000 0.0000 0.6324  3 Rh 2.58-2.68, 2 Ir 2.68
Sb4 0.0000 0.5000 0.3676  3 Rh 2.58-2.68, 2 Ir 2.68
Ir1 0.5000 0.5000 0.5000  4 Sb 2.68
Rh1 0.0000 0.0000 0.5000  4 Sb 2.68
Rh2 0.5000 0.0000 0.8771  5 Sb 2.58-2.63
Rh3 0.0000 0.5000 0.1229  5 Sb 2.58-2.63

# 5
First-principles (GGA-PBE) data for a relaxed structure of La4Nd3ScSe8, as listed in Alexandria.

Properties
Formation energy from raw total energies: -1.870 eV per atom
E: -98.140 eV per cell
Calculated density: 6.44 g/cm³

a b c (Å): 8.4789 8.4585 8.4789
angles (deg): 120.08 120.00 90.00
Last column: nearest neighbours and their distance in Å.
Fractional positions:
La1 0.5000 0.0000 0.0000  6 Se 3.13
La2 0.5000 0.0000 0.5000  6 Se 3.01
La3 0.0000 0.0000 0.0000  6 Se 3.01
La4 0.0000 0.0000 0.5000  6 Se 3.01
Nd1 0.5000 0.5000 0.0000  6 Se 2.98
Nd2 0.5000 0.5000 0.5000  6 Se 2.98
Nd3 0.0000 0.5000 0.5000  6 Se 2.98
Sc1 0.0000 0.5000 0.0000  6 Se 2.85
Se1 0.2383 0.7353 0.9971  1 Sc 2.85, 2 Nd 2.98, 3 La 3.01-3.13
Se2 0.2383 0.7353 0.4765  1 Sc 2.85, 2 Nd 2.98, 3 La 3.01-3.13
Se3 0.2515 0.2547 0.5031  3 Nd 2.98, 3 La 3.01
Se4 0.7588 0.7353 0.9971  1 Sc 2.85, 2 Nd 2.98, 3 La 3.01-3.13
Se5 0.2412 0.2647 0.0029  1 Sc 2.85, 2 Nd 2.98, 3 La 3.01-3.13
Se6 0.7485 0.7453 0.4969  3 Nd 2.98, 3 La 3.01
Se7 0.7617 0.2647 0.5235  1 Sc 2.85, 2 Nd 2.98, 3 La 3.01-3.13
Se8 0.7617 0.2647 0.0029  1 Sc 2.85, 2 Nd 2.98, 3 La 3.01-3.13

# 6
First-principles (GGA-PBE) data for a relaxed structure of SeBr3, as listed in Alexandria.

Properties
Formation energy from raw total energies: 0.305 eV per atom
E: -7.282 eV per cell
Calculated density: 3.88 g/cm³

a b c (Å): 9.0857 9.0857 9.0857
angles (deg): 154.75 154.75 36.01
Last column: nearest neighbours and their distance in Å.
Fractional positions:
Se1 0.0000 0.0000 0.0000  4 Br 2.81
Br1 0.7500 0.2500 0.5000  4 Br 2.81
Br2 0.2500 0.7500 0.5000  4 Br 2.81
Br3 0.5000 0.5000 0.0000  4 Se 2.81

# 7
First-principles (GGA-PBE) data for a relaxed structure of W3SeN, as listed in Alexandria.

Properties
Formation energy from raw total energies: 0.542 eV per atom
E: -47.961 eV per cell
Calculated density: 14.59 g/cm³
Excess energy over the best structure of this formula in the dataset: 0.000 eV/f.u.

a b c (Å): 4.1861 4.1861 4.1861
angles (deg): 90.00 90.00 90.00
Last column: nearest neighbours and their distance in Å.
Fractional positions:
Se1 0.5000 0.5000 0.5000  12 W 2.96
W1 0.0000 0.5000 0.0000  2 N 2.09
W2 0.0000 0.0000 0.5000  2 N 2.09
W3 0.5000 0.0000 0.0000  2 N 2.09
N1 0.0000 0.0000 0.0000  6 W 2.09

# 8
First-principles (GGA-PBE) data for a relaxed structure of Sm6YHo3Th2, as listed in Alexandria.

Properties
Formation energy from the elements: 36 meV per atom
E: -62.919 eV per cell
Calculated density: 8.24 g/cm³

a b c (Å): 6.2138 6.2138 11.9275
angles (deg): 94.99 94.99 119.93
Last column: nearest neighbours and their distance in Å.
Fractional positions:
Sm1 0.9167 0.5798 0.7511  6 Sm 3.57-3.63, 2 Th 3.58, 3 Ho 3.59-3.61, 1 Y 3.60
Sm2 0.7461 0.7461 0.2494  6 Sm 3.57-3.63, 2 Th 3.58, 3 Ho 3.59-3.61, 1 Y 3.60
Sm3 0.0833 0.4202 0.2489  6 Sm 3.57-3.63, 2 Th 3.58, 3 Ho 3.59-3.61, 1 Y 3.60
Sm4 0.5798 0.9167 0.7511  6 Sm 3.57-3.63, 2 Th 3.58, 3 Ho 3.59-3.61, 1 Y 3.60
Sm5 0.2539 0.2539 0.7506  6 Sm 3.57-3.63, 2 Th 3.58, 3 Ho 3.59-3.61, 1 Y 3.60
Sm6 0.4202 0.0833 0.2489  6 Sm 3.57-3.63, 2 Th 3.58, 3 Ho 3.59-3.61, 1 Y 3.60
Y1 0.0000 0.0000 0.0000  6 Th 3.59, 6 Sm 3.60
Ho1 0.1667 0.8333 0.5000  6 Ho 3.59, 6 Sm 3.59-3.61
Ho2 0.8333 0.1667 0.5000  6 Ho 3.59, 6 Sm 3.59-3.61
Ho3 0.5000 0.5000 0.5000  6 Ho 3.59, 6 Sm 3.59-3.61
Th1 0.3335 0.6665 0.0000  6 Sm 3.58, 3 Th 3.58-3.59, 3 Y 3.59
Th2 0.6665 0.3335 0.0000  6 Sm 3.58, 3 Th 3.58-3.59, 3 Y 3.59

# 9
First-principles (GGA-PBE) data for a relaxed structure of Zr2ScTa, as listed in Alexandria.

Properties
Formation energy from the elements: 153 meV per atom
E: -34.669 eV per cell
Calculated density: 7.79 g/cm³

a b c (Å): 5.4712 5.4712 5.4712
angles (deg): 132.64 132.61 69.25
Last column: nearest neighbours and their distance in Å.
Fractional positions:
Sc1 0.5000 0.5000 0.0000  8 Zr 3.11-3.15, 4 Ta 3.15
Ta1 0.2500 0.7500 0.5000  8 Zr 3.11-3.15, 4 Sc 3.15
Zr1 0.0001 0.0001 0.0000  4 Sc 3.11, 4 Ta 3.15, 4 Zr 3.15
Zr2 0.7500 0.2500 0.5000  4 Ta 3.11, 4 Sc 3.15, 4 Zr 3.15

# 10
First-principles (GGA-PBE) data for a relaxed structure of InHgBr2, as listed in Alexandria.

Properties
Formation energy from raw total energies: -0.422 eV per atom
E: -8.073 eV per cell
Calculated density: 5.04 g/cm³
Excess energy over the best structure of this formula in the dataset: 0.568 eV/f.u.

a b c (Å): 4.2012 4.2012 10.1673
angles (deg): 74.98 74.98 66.53
Last column: nearest neighbours and their distance in Å.
Fractional positions:
Hg1 0.7500 0.7500 0.7500  6 Br 4.12-4.16, 6 Hg 4.20-4.61
Br1 0.9622 0.9622 0.0888  3 In 2.95-2.97
Br2 0.5378 0.5378 0.4112  3 In 2.95-2.97
In1 0.2500 0.2500 0.2500  6 Br 2.95-2.97

# 11
First-principles (GGA-PBE) data for a relaxed structure of Th6BSe5, as listed in Alexandria.

Properties
Formation energy from raw total energies: -1.377 eV per atom
E: -85.147 eV per cell
Calculated density: 9.64 g/cm³

a b c (Å): 7.1822 7.3031 7.2433
angles (deg): 59.73 80.41 70.70
Last column: nearest neighbours and their distance in Å.
Fractional positions:
B1 0.0000 0.0000 0.0000  6 Th 2.71-2.73
Se1 0.5000 0.1790 0.6420  6 Th 2.97-3.10
Se2 0.0000 0.3369 0.3262  6 Th 2.97-2.99
Se3 0.5000 0.5000 0.0000  6 Th 2.98-3.18
Se4 0.0000 0.6631 0.6738  6 Th 2.97-2.99
Se5 0.5000 0.8210 0.3580  6 Th 2.97-3.10
Th1 0.7713 0.0743 0.3066  1 B 2.71, 4 Se 2.97-2.99
Th2 0.2287 0.6191 0.3066  1 B 2.71, 4 Se 2.97-2.99
Th3 0.2407 0.2222 0.0000  1 B 2.73, 4 Se 2.99-3.02
Th4 0.7593 0.7778 0.0000  1 B 2.73, 4 Se 2.99-3.02
Th5 0.7713 0.3809 0.6934  1 B 2.71, 4 Se 2.97-2.99
Th6 0.2287 0.9257 0.6934  1 B 2.71, 4 Se 2.97-2.99

# 12
First-principles (GGA-PBE) data for a relaxed structure of TiSiTcMo, as listed in Alexandria.

Properties
Formation energy from raw total energies: -0.340 eV per atom
E: -35.875 eV per cell
Calculated density: 7.80 g/cm³

a b c (Å): 4.3313 4.3313 4.3313
angles (deg): 60.00 60.00 60.00
Last column: nearest neighbours and their distance in Å.
Fractional positions:
Mo1 0.2500 0.2500 0.2500  4 Ti 2.65, 4 Si 2.65
Si1 0.0000 0.0000 0.0000  4 Mo 2.65, 4 Tc 2.65
Tc1 0.7500 0.7500 0.7500  4 Ti 2.65, 4 Si 2.65
Ti1 0.5000 0.5000 0.5000  4 Tc 2.65, 4 Mo 2.65

# 13
First-principles (GGA-PBE) data for a relaxed structure of ZrP2Se, as listed in Alexandria.

Properties
Formation energy from raw total energies: -0.100 eV per atom
E: -23.251 eV per cell
Calculated density: 5.46 g/cm³

a b c (Å): 4.5325 4.5325 3.4347
angles (deg): 90.00 90.00 90.00
Last column: nearest neighbours and their distance in Å.
Fractional positions:
P1 0.0000 0.0000 0.0000  4 Zr 2.84, 4 Se 2.84
P2 0.5000 0.5000 0.0000  4 Zr 2.84, 4 Se 2.84
Se1 0.5000 0.0000 0.5000  8 P 2.84
Zr1 0.0000 0.5000 0.5000  8 P 2.84

# 14
First-principles (GGA-PBE) data for a relaxed structure of Be3Sb, as listed in Alexandria.

Properties
Formation energy from raw total energies: 0.659 eV per atom
E: -12.667 eV per cell
Calculated density: 4.68 g/cm³
Excess energy over the best structure of this formula in the dataset: 1.073 eV/f.u.

a b c (Å): 3.7516 3.7516 3.7516
angles (deg): 90.00 90.00 90.00
Last column: nearest neighbours and their distance in Å.
Fractional positions:
Sb1 0.0000 0.0000 0.0000  12 Be 2.65
Be1 0.0000 0.5000 0.5000  8 Be 2.65, 4 Sb 2.65
Be2 0.5000 0.0000 0.5000  4 Sb 2.65, 8 Be 2.65
Be3 0.5000 0.5000 0.0000  8 Be 2.65, 4 Sb 2.65

# 15
First-principles (GGA-PBE) data for a relaxed structure of Sm2Th2Sb2C, as listed in Alexandria.

Properties
Formation energy from raw total energies: -0.648 eV per atom
E: -46.282 eV per cell
Calculated density: 8.49 g/cm³

a b c (Å): 4.9034 4.9034 8.9984
angles (deg): 105.81 105.81 90.00
Last column: nearest neighbours and their distance in Å.
Fractional positions:
Sm1 0.1630 0.1630 0.3261  1 C 2.71
Sm2 0.8370 0.8370 0.6739  1 C 2.71
Th1 0.0000 0.5000 0.0000  2 C 2.45
Th2 0.5000 0.0000 0.0000  2 C 2.45
Sb1 0.3569 0.3569 0.7138  5 Sm 3.22-3.48, 4 Th 3.41
Sb2 0.6431 0.6431 0.2862  5 Sm 3.22-3.48, 4 Th 3.41
C1 0.0000 0.0000 0.0000  4 Th 2.45, 2 Sm 2.71

# 16
First-principles (GGA-PBE) data for a relaxed structure of TbHg3, as listed in Alexandria.

Properties
Formation energy from the elements: -355 meV per atom
E: -13.915 eV per cell
Calculated density: 13.07 g/cm³

a b c (Å): 5.0325 6.6619 6.6612
angles (deg): 120.05 90.00 90.00
Last column: nearest neighbours and their distance in Å.
Fractional positions:
Tb1 0.2500 0.7915 0.9580  12 Hg 3.17-3.33
Tb2 0.7500 0.4585 0.2920  12 Hg 3.17-3.33
Hg1 0.7500 0.9589 0.7911  8 Hg 3.16-3.35, 4 Tb 3.17-3.33
Hg2 0.7500 0.4563 0.7910  8 Hg 3.16-3.35, 4 Tb 3.17-3.33
Hg3 0.7500 0.9590 0.2932  8 Hg 3.16-3.34, 4 Tb 3.17-3.33
Hg4 0.2500 0.2911 0.4589  8 Hg 3.16-3.35, 4 Tb 3.17-3.33
Hg5 0.2500 0.7937 0.4590  8 Hg 3.16-3.35, 4 Tb 3.17-3.33
Hg6 0.2500 0.2910 0.9568  8 Hg 3.16-3.34, 4 Tb 3.17-3.33

# 17
First-principles (GGA-PBE) data for a relaxed structure of Na4Hg, as listed in Alexandria.

Properties
Formation energy from the elements: 27 meV per atom
E: -5.441 eV per cell
Calculated density: 2.74 g/cm³
Excess energy over the best structure of this formula in the dataset: 0.675 eV/f.u.

a b c (Å): 6.1869 6.1866 6.1868
angles (deg): 104.19 104.20 120.64
Last column: nearest neighbours and their distance in Å.
Fractional positions:
Na1 0.2868 0.2869 0.5737  1 Hg 3.08, 4 Na 3.16-3.24
Na2 0.7131 0.2868 0.0000  1 Hg 3.08, 4 Na 3.16-3.24
Na3 0.7132 0.7131 0.4263  1 Hg 3.08, 4 Na 3.16-3.24
Na4 0.2869 0.7132 0.0000  1 Hg 3.08, 4 Na 3.16-3.24
Hg1 0.0000 0.0000 0.0000  4 Na 3.08

# 18
First-principles (GGA-PBE) data for a relaxed structure of Nd2OsRu3, as listed in Alexandria.

Properties
Formation energy from the elements: -130 meV per atom
E: -98.750 eV per cell
Calculated density: 11.53 g/cm³

a b c (Å): 5.3936 5.3936 8.9435
angles (deg): 90.00 90.00 120.00
Last column: nearest neighbours and their distance in Å.
Fractional positions:
Nd1 0.6667 0.3333 0.4348  9 Ru 3.16-3.21, 3 Os 3.17, 4 Nd 3.31-3.32
Nd2 0.3333 0.6667 0.5652  9 Ru 3.16-3.21, 3 Os 3.17, 4 Nd 3.31-3.32
Nd3 0.3333 0.6667 0.9348  9 Ru 3.16-3.21, 3 Os 3.17, 4 Nd 3.31-3.32
Nd4 0.6667 0.3333 0.0652  9 Ru 3.16-3.21, 3 Os 3.17, 4 Nd 3.31-3.32
Os1 0.0000 0.0000 0.5000  6 Ru 2.74
Os2 0.0000 0.0000 0.0000  6 Ru 2.74
Ru1 0.1689 0.3378 0.2500  4 Ru 2.66-2.73, 2 Os 2.74
Ru2 0.3378 0.1689 0.7500  4 Ru 2.66-2.73, 2 Os 2.74
Ru3 0.8311 0.6622 0.7500  4 Ru 2.66-2.73, 2 Os 2.74
Ru4 0.1689 0.8311 0.2500  4 Ru 2.66-2.73, 2 Os 2.74
Ru5 0.8311 0.1689 0.7500  4 Ru 2.66-2.73, 2 Os 2.74
Ru6 0.6622 0.8311 0.2500  4 Ru 2.66-2.73, 2 Os 2.74

# 19
First-principles (GGA-PBE) data for a relaxed structure of LuScP2, as listed in Alexandria.

Properties
Formation energy from the elements: -1532 meV per atom
E: -27.801 eV per cell
Calculated density: 5.86 g/cm³

a b c (Å): 3.8392 3.8392 6.6410
angles (deg): 73.20 73.20 60.00
Last column: nearest neighbours and their distance in Å.
Fractional positions:
Sc1 0.0000 0.0000 0.0000  6 P 2.68
P1 0.2532 0.2532 0.2405  3 Sc 2.68, 3 Lu 2.75
P2 0.7468 0.7468 0.7595  3 Sc 2.68, 3 Lu 2.75
Lu1 0.5000 0.5000 0.5000  6 P 2.75

# 20
First-principles (GGA-PBE) data for a relaxed structure of KCaGe2H, as listed in Alexandria.

Properties
E: -15.303 eV per cell
Calculated density: 3.61 g/cm³

a b c (Å): 4.6698 4.6698 4.7544
angles (deg): 90.00 90.00 90.00
Last column: nearest neighbours and their distance in Å.
Fractional positions:
K1 0.5000 0.5000 0.5000  4 Ca 3.30, 8 Ge 3.33
H1 0.0000 0.0000 0.0000  4 Ge 2.33, 2 Ca 2.38
Ge1 0.0000 0.5000 0.0000  2 H 2.33
Ge2 0.5000 0.0000 0.0000  2 H 2.33
Ca1 0.0000 0.0000 0.5000  2 H 2.38